20
Lattice="-2.0002 8.5565 2.4270 -8.4712 -0.7208 -4.4404 -4.0287 -5.2138 8.5321" Properties=species:S:1:pos:R:3 comment="Rb2TlTe2 (PBE, relaxed)" total_energy_ev_per_atom=-2.847 raw_formation_energy_kj_per_mol_atoms=-70 sg="P2_1/c, No. 14" rho_g_cm3=4.50 vol_a3_per_atom=46.51 total_magnetization_mub_per_cell=0.00 pbc="T T T"
Rb -5.7162 -3.3221 4.4160
Rb -9.2956 1.5371 0.0968
Rb -12.2402 2.9899 6.7891
Rb -10.7999 -1.2509 5.8063
Rb -5.2044 1.0848 6.4220
Rb -8.7839 5.9439 2.1028
Rb -3.7001 3.8728 0.7124
Rb -2.2598 -0.3680 -0.2703
Tl -5.7519 0.7043 2.2438
Tl -8.7481 1.9176 4.2750
Tl -3.9425 5.2215 4.9299
Tl -10.5575 -2.5997 1.5888
Te -8.2625 -0.9850 2.8583
Te -11.2859 3.1210 3.0112
Te -5.6691 1.0278 -0.7171
Te -3.2142 -0.4992 3.5076
Te -10.0818 5.0157 -1.2924
Te -6.2376 3.6069 3.6605
Te -8.8310 1.5940 7.2359
Te -4.4183 -2.3938 7.8112